1.
# Re7Ru

An optimized crystal structure of Re7Ru (GGA-PBEsol, Alexandria). Values from VASP.

Properties
- Spin magnetization: 0.00 μB/f.u.

The structure in Quantum ESPRESSO input format:
```
&SYSTEM
  ibrav = 0, nat = 8, ntyp = 2
/
ATOMIC_SPECIES
Ru 101.07 Ru.upf
Re 186.21 Re.upf
ATOMIC_POSITIONS crystal
Ru 0.000 0.000 0.000
Re 0.000 0.500 0.000
Re 0.000 0.500 0.500
Re 0.500 0.000 0.500
Re 0.000 0.000 0.500
Re 0.500 0.500 0.000
Re 0.500 0.500 0.500
Re 0.500 0.000 0.000
CELL_PARAMETERS angstrom
5.470 0.000 0.000
2.735 4.737 0.000
2.735 1.579 4.466
```

***

2.
# Re3Ru

An optimized crystal structure of Re3Ru (GGA-PBEsol, Alexandria). Values from VASP.

Properties
- Spin magnetization: 0.00 μB/f.u.

The structure in Quantum ESPRESSO input format:
```
&SYSTEM
  ibrav = 0, nat = 4, ntyp = 2
/
ATOMIC_SPECIES
Re 186.21 Re.upf
Ru 101.07 Ru.upf
ATOMIC_POSITIONS crystal
Re 0.749 0.750 0.497
Re 0.251 0.253 0.503
Re 0.500 0.829 0.000
Ru 0.000 0.335 0.000
CELL_PARAMETERS angstrom
2.728 0.000 0.000
0.000 4.763 0.000
-1.364 -2.381 4.383
```

***

3.
# ReRu2

An optimized crystal structure of ReRu2 (GGA-PBEsol, Alexandria). Values from VASP.

Properties
- Spin magnetization: 0.00 μB/f.u.

The structure in Quantum ESPRESSO input format:
```
&SYSTEM
  ibrav = 0, nat = 6, ntyp = 2
/
ATOMIC_SPECIES
Ru 101.07 Ru.upf
Re 186.21 Re.upf
ATOMIC_POSITIONS crystal
Ru 0.445 0.750 0.889
Re 0.780 0.750 0.560
Re 0.220 0.250 0.440
Ru 0.110 0.750 0.220
Ru 0.555 0.250 0.111
Ru 0.890 0.250 0.780
CELL_PARAMETERS angstrom
-0.444 -0.968 -2.500
-0.917 -3.856 1.655
-6.574 2.315 1.749
```

***

4.
# ReRu2

An optimized crystal structure of ReRu2 (GGA-PBEsol, Alexandria). Values from VASP.

Properties
- Spin magnetization: 0.00 μB/f.u.

The structure in Quantum ESPRESSO input format:
```
&SYSTEM
  ibrav = 0, nat = 6, ntyp = 2
/
ATOMIC_SPECIES
Re 186.21 Re.upf
Ru 101.07 Ru.upf
ATOMIC_POSITIONS crystal
Re 0.999 0.998 0.997
Ru 0.389 0.779 0.277
Re 0.668 0.337 0.336
Ru 0.721 0.443 0.944
Ru 0.055 0.110 0.611
Ru 0.334 0.667 0.668
CELL_PARAMETERS angstrom
2.715 0.000 0.000
-1.357 4.895 0.001
0.000 -1.513 6.188
```

***

It is found that the ΔH_f (0 K) values, taken in the order of the records, are 1.1; -1.3; -0.7; -1.4 kcal/mol of atoms.
It is found that the electronic total energy values, taken in the order of the records, are -12.889; -12.600; -11.255; -11.284 eV per atom.
It is found that the N(E_F) values, taken in the order of the records, are 0.792; 0.682; 0.851; 0.764 states/eV/atom.